1.
A plane-wave DFT calculation with PBE was carried out for MgSbC2 after structural relaxation.

Unit cell a=4.2072 b=4.2072 c=4.2072 alpha=60.00 beta=60.00 gamma=60.00
Last column: nearest neighbours and their distance in Å.
Element x y z (fractional)
1 Mg 0.0000 0.0000 0.0000  8 C 2.58
2 Sb 0.5000 0.5000 0.5000  8 C 2.58
3 C 0.2500 0.2500 0.2500  4 Sb 2.58, 4 Mg 2.58
4 C 0.7500 0.7500 0.7500  4 Sb 2.58, 4 Mg 2.58

Properties
For the excess energy over the best structure of this formula in the dataset, the calculation gives 738.8 meV/atom. The value obtained for the formation energy without anion corrections is 1.81 eV/atom. Its space-group type is Fm-3m.



2.
A plane-wave DFT calculation with PBE was carried out for CaLa3Cd4 after structural relaxation.

Unit cell a=5.5154 b=5.5154 c=7.8951 alpha=90.00 beta=90.00 gamma=90.00
Last column: nearest neighbours and their distance in Å.
Element x y z (fractional)
1 Ca 0.0000 0.0000 0.0000  8 Cd 3.37
2 La 0.0000 0.0000 0.5000  8 Cd 3.42
3 La 0.5000 0.5000 0.0000  8 Cd 3.37
4 La 0.5000 0.5000 0.5000  8 Cd 3.42
5 Cd 0.0000 0.5000 0.2447  6 La 3.37-3.42, 2 Ca 3.37
6 Cd 0.0000 0.5000 0.7553  6 La 3.37-3.42, 2 Ca 3.37
7 Cd 0.5000 0.0000 0.2447  6 La 3.37-3.42, 2 Ca 3.37
8 Cd 0.5000 0.0000 0.7553  6 La 3.37-3.42, 2 Ca 3.37

Properties
The value obtained for the total energy is -2.903 eV per atom. Its space-group type is P4/mmm.



no.,total magnetic moment (μB per cell)
1,0.0
2,0.4